# 1
SiOsS3 GGA-PBE relaxed; SG = No. 221; E_tot = -4.706 eV/atom; offset from the most stable computed form = 349 meV/atom; crystal system = cubic; formation energy (no corrections) = 5.50 eV/f.u.
1.0
-3.063 -2.924 0.936
2.858 -3.198 -0.640
1.122 0.165 4.186
Si S Os
1 3 1
Direct
0.000 0.000 0.000
0.000 0.500 0.000
0.500 0.000 0.000
0.000 0.000 0.500
0.500 0.500 0.500

# 2
BeNi3Pt4 GGA-PBE relaxed; SG = No. 123; E_tot = -5.922 eV/atom; ΔH_f (0 K) = -0.27 eV per atom; crystal system = tetragonal
1.0
-2.721 0.159 0.141
-0.197 -1.226 -2.431
-0.400 -12.442 6.310
Pt Ni Be
4 3 1
Direct
0.000 0.000 0.894
0.000 0.000 0.630
0.000 0.000 0.106
0.000 0.000 0.370
0.500 0.500 0.241
0.500 0.500 0.759
0.500 0.500 0.500
0.500 0.500 0.000

# 3
KNi2Br6 GGA-PBE relaxed; SG = No. 162; E_tot = -3.111 eV/atom; crystal system = trigonal; formation energy (no corrections) = -5.30 eV/f.u.
1.0
-2.034 -6.783 2.330
5.996 -0.994 2.342
-4.574 2.673 3.788
Br Ni K
6 2 1
Direct
0.308 0.000 0.626
0.308 0.374 0.374
0.308 0.626 0.000
0.692 0.626 0.626
0.692 0.374 0.000
0.692 0.000 0.374
0.500 0.333 0.667
0.500 0.667 0.333
0.000 0.000 0.000

# 4
TbHo2Er5 GGA-PBE relaxed; SG = No. 63; E_tot = -4.432 eV/atom; offset from the most stable computed form = 125 meV/atom; ΔH_f (0 K) = 0.14 eV per atom; crystal system = orthorhombic
1.0
-3.030 4.615 0.696
-2.996 -6.105 5.156
7.058 3.407 8.140
Er Tb Ho
10 2 4
Direct
0.413 0.825 0.079
0.412 0.825 0.421
0.587 0.175 0.921
0.045 0.090 0.388
0.956 0.911 0.888
0.395 0.790 0.750
0.605 0.210 0.250
0.955 0.910 0.612
0.044 0.089 0.112
0.588 0.175 0.579
0.227 0.454 0.250
0.773 0.546 0.750
0.787 0.575 0.080
0.213 0.425 0.920
0.213 0.426 0.581
0.787 0.574 0.419

# 5
Th2Co3As4Pd GGA-PBE relaxed; SG = No. 115; E_tot = -6.810 eV/atom; ΔH_f (0 K) = -0.82 eV per atom; crystal system = tetragonal
1.0
4.252 0.000 0.000
0.000 4.252 0.000
0.000 0.000 9.508
Th Co Pd As
2 3 1 4
Direct
0.500 0.000 0.245
0.000 0.500 0.755
0.500 0.000 0.890
0.000 0.500 0.110
0.000 0.000 0.500
0.500 0.500 0.500
0.500 0.500 0.000
0.000 0.500 0.356
0.000 0.000 0.000
0.500 0.000 0.644

# 6
Zr3TcNi GGA-PBE relaxed; SG = No. 221; E_tot = -7.600 eV/atom; offset from the most stable computed form = 198 meV/atom; ΔH_f (0 K) = 0.76 eV per atom; crystal system = cubic
1.0
-0.254 2.170 4.458
1.448 -4.237 2.145
4.742 1.410 -0.417
Tc Ni Zr
1 1 3
Direct
0.000 0.000 0.000
0.500 0.500 0.500
0.000 0.000 0.500
0.000 0.500 0.000
0.500 0.000 0.000

# 7
EuCd4Sn GGA-PBE relaxed; SG = No. 216; E_tot = -3.169 eV/atom; ΔH_f (0 K) = -0.18 eV per atom; crystal system = cubic
1.0
-3.649 4.642 1.290
-2.629 0.358 5.430
1.768 4.228 3.940
Cd Sn Eu
4 1 1
Direct
0.625 0.625 0.125
0.625 0.625 0.625
0.625 0.125 0.625
0.125 0.625 0.625
0.000 0.000 0.000
0.250 0.250 0.250

# 8
GdTlAgPd GGA-PBE relaxed; SG = No. 216; E_tot = -6.524 eV/atom; ΔH_f (0 K) = -0.40 eV per atom; crystal system = cubic
1.0
4.956 0.000 0.000
2.478 4.292 0.000
2.478 1.431 4.047
Gd Tl Pd Ag
1 1 1 1
Direct
0.000 0.000 0.000
0.500 0.500 0.500
0.750 0.750 0.750
0.250 0.250 0.250